This record from Alexandria describes crystalline BaLi2SnSe4 at its relaxed geometry. The functional is GGA-PBE.

Geometry as POSCAR:
```
BaLi2SnSe4
1.0
5.781 -6.003 0.000
5.781 6.003 0.000
-5.634 0.000 6.121
Ba Li Sn Se
2 4 2 8
Cartesian
2.891 3.002 0.000
0.074 -3.002 3.060
0.000 0.000 0.000
-2.817 0.000 3.060
0.074 3.002 3.060
2.891 -3.002 0.000
5.781 0.000 0.000
2.964 0.000 3.060
-0.082 0.185 3.293
2.717 2.669 3.188
2.735 -0.185 0.232
0.395 2.669 5.993
5.534 -2.669 0.127
3.194 0.185 5.888
3.212 -2.669 2.933
6.011 -0.185 2.828
```

symmetry	C2/c (15)
crystal system	monoclinic
E_tot	-3.921	eV per atom